Material: Cs2MgSe3
Method: DFT, PBE-GGA
State: relaxed

POSCAR file:
```
Cs2MgSe3
1.0
4.7133 0.0000 0.0000
0.0000 7.9653 0.0000
0.0000 0.0000 23.8066
Se Cs Mg
12 8 4
direct
0.2500 0.6001 0.1572 Se
0.2500 0.6719 0.9625 Se
0.2500 0.1719 0.5375 Se
0.2500 0.3959 0.3205 Se
0.7500 0.8999 0.6572 Se
0.7500 0.8281 0.4625 Se
0.2500 0.1001 0.3428 Se
0.7500 0.3281 0.0375 Se
0.2500 0.8959 0.1795 Se
0.7500 0.6041 0.6795 Se
0.7500 0.3999 0.8428 Se
0.7500 0.1041 0.8205 Se
0.7500 0.8680 0.0725 Cs
0.2500 0.7406 0.7860 Cs
0.7500 0.7594 0.2860 Cs
0.7500 0.3680 0.4275 Cs
0.7500 0.2594 0.2140 Cs
0.2500 0.1320 0.9275 Cs
0.2500 0.6320 0.5725 Cs
0.2500 0.2406 0.7140 Cs
0.2500 0.9866 0.4469 Mg
0.7500 0.0134 0.5531 Mg
0.2500 0.4866 0.0531 Mg
0.7500 0.5134 0.9469 Mg
```

Values from the calculation:
volume	37.24	Å³ per atom
total energy	-3.32	eV per atom
M_tot	0.00	μB per cell